The following is a DFT calculation (GGA-PBE) of a geometry-optimized CsLi4Hg3F12 structure.

Properties
raw total energy = -73.10 eV/cell
ΔE_f (raw) = -2.0617 eV per atom
V = 336.3 Å³/f.u.

Geometry as POSCAR:
```
CsLi4Hg3F12
1.0
6.060 3.499 2.644
-6.060 3.499 2.644
0.000 -6.997 2.644
Cs Li Hg F
1 4 3 12
Direct
0.000 0.000 0.000 Cs
0.062 0.500 0.938 Li
0.500 0.500 0.500 Li
0.500 0.938 0.062 Li
0.938 0.062 0.500 Li
0.000 0.554 0.446 Hg
0.446 0.000 0.554 Hg
0.554 0.446 0.000 Hg
0.088 0.655 0.786 F
0.096 0.904 0.500 F
0.214 0.345 0.912 F
0.345 0.912 0.214 F
0.351 0.649 0.500 F
0.500 0.096 0.904 F
0.500 0.351 0.649 F
0.649 0.500 0.351 F
0.655 0.786 0.088 F
0.786 0.088 0.655 F
0.904 0.500 0.096 F
0.912 0.214 0.345 F
```